First-principles (GGA-PBE) data for an optimized crystal structure of LiLa2Y, as listed in the Alexandria database.

Computed properties:
Crystal system ... monoclinic
E_tot ... -4.42 eV/atom
Calculated density ... 4.81 g cm⁻³
E_form ... 0.1370 eV/atom
Distance to the lowest polymorph of the same formula ... 77 meV per atom
M_tot ... 0.00 μB per cell

a = 5.3754 Å, b = 3.6690 Å, c = 6.8024 Å
α = 73.91°, β = 90.00°, γ = 90.00°
Element x y z (fractional)
Y: 0.5000 0.7500 0.7500
La: 0.0000 0.4239 0.4829
La: 0.0000 0.0761 0.0171
Li: 0.5000 0.2500 0.2500

First-principles (GGA-PBE) data for an optimized crystal structure of LiLa2Y, as listed in the Alexandria database.

Computed properties:
Crystal system ... tetragonal
E_tot ... -4.49 eV/atom
Calculated density ... 4.92 g cm⁻³
E_form ... 0.0671 eV/atom
Distance to the lowest polymorph of the same formula ... 7 meV per atom
M_tot ... 0.00 μB per cell

a = 3.7495 Å, b = 3.7495 Å, c = 8.9793 Å
α = 90.00°, β = 90.00°, γ = 90.00°
Element x y z (fractional)
Li: 0.0000 0.0000 0.5122
Y: 0.5000 0.5000 0.7155
La: 0.0000 0.0000 0.9918
La: 0.5000 0.5000 0.2806

First-principles (GGA-PBE) data for an optimized crystal structure of Li2LaY2, as listed in the Alexandria database.

Computed properties:
Crystal system ... tetragonal
E_tot ... -4.17 eV/atom
Calculated density ... 3.88 g cm⁻³
E_form ... 0.1715 eV/atom
Distance to the lowest polymorph of the same formula ... 0 meV per atom
M_tot ... 0.00 μB per cell

a = 8.6185 Å, b = 8.6185 Å, c = 3.8078 Å
α = 90.00°, β = 90.00°, γ = 90.00°
Element x y z (fractional)
Li: 0.3751 0.8751 0.0000
Li: 0.8751 0.6249 0.0000
Li: 0.6249 0.1249 0.0000
Li: 0.1249 0.3751 0.0000
La: 0.0000 0.0000 0.0000
La: 0.5000 0.5000 0.0000
Y: 0.8296 0.3296 0.5000
Y: 0.3296 0.1704 0.5000
Y: 0.1704 0.6704 0.5000
Y: 0.6704 0.8296 0.5000

First-principles (GGA-PBE) data for an optimized crystal structure of LiLa2Y, as listed in the Alexandria database.

Computed properties:
Crystal system ... tetragonal
E_tot ... -4.41 eV/atom
Calculated density ... 4.86 g cm⁻³
E_form ... 0.1488 eV/atom
Distance to the lowest polymorph of the same formula ... 89 meV per atom
M_tot ... 0.00 μB per cell

a = 6.1960 Å, b = 6.1960 Å, c = 6.1960 Å
α = 132.28°, β = 132.28°, γ = 69.79°
Element x y z (fractional)
La: 0.5000 0.5000 0.0000
La: 0.0000 0.0000 0.0000
Li: 0.2500 0.7500 0.5000
Y: 0.7500 0.2500 0.5000

First-principles (GGA-PBE) data for an optimized crystal structure of LiLa2Y, as listed in the Alexandria database.

Computed properties:
Crystal system ... orthorhombic
E_tot ... -4.41 eV/atom
Calculated density ... 4.77 g cm⁻³
E_form ... 0.1466 eV/atom
Distance to the lowest polymorph of the same formula ... 86 meV per atom
M_tot ... 0.00 μB per cell

a = 3.4703 Å, b = 3.4703 Å, c = 11.8394 Å
α = 90.00°, β = 90.00°, γ = 114.30°
Element x y z (fractional)
La: 0.0000 0.0000 0.9926
La: 0.5000 0.5000 0.2655
Li: 0.0000 0.0000 0.5072
Y: 0.5000 0.5000 0.7346

First-principles (GGA-PBE) data for an optimized crystal structure of Li2LaY2, as listed in the Alexandria database.

Computed properties:
Crystal system ... tetragonal
E_tot ... -4.16 eV/atom
Calculated density ... 3.80 g cm⁻³
E_form ... 0.1766 eV/atom
Distance to the lowest polymorph of the same formula ... 5 meV per atom
M_tot ... 0.00 μB per cell

a = 3.6948 Å, b = 3.6948 Å, c = 10.8989 Å
α = 80.24°, β = 80.24°, γ = 90.00°
Element x y z (fractional)
La: 0.0000 0.0000 0.0000
Li: 0.2500 0.7500 0.5000
Li: 0.7500 0.2500 0.5000
Y: 0.3821 0.3821 0.2358
Y: 0.6179 0.6179 0.7642

First-principles (GGA-PBE) data for an optimized crystal structure of LiLa2Y, as listed in the Alexandria database.

Computed properties:
Crystal system ... monoclinic
E_tot ... -4.39 eV/atom
Calculated density ... 4.79 g cm⁻³
E_form ... 0.1685 eV/atom
Distance to the lowest polymorph of the same formula ... 108 meV per atom
M_tot ... 0.00 μB per cell

a = 6.6585 Å, b = 6.6585 Å, c = 3.5682 Å
α = 79.32°, β = 79.32°, γ = 118.55°
Element x y z (fractional)
La: 0.5000 0.5000 0.0000
La: 0.0000 0.0000 0.0000
Li: 0.5000 0.0000 0.5000
Y: 0.0000 0.5000 0.5000

First-principles (GGA-PBE) data for an optimized crystal structure of LiLa2Y, as listed in the Alexandria database.

Computed properties:
Crystal system ... orthorhombic
E_tot ... -4.42 eV/atom
Calculated density ... 4.83 g cm⁻³
E_form ... 0.1363 eV/atom
Distance to the lowest polymorph of the same formula ... 76 meV per atom
M_tot ... 0.00 μB per cell

a = 3.5501 Å, b = 5.1366 Å, c = 7.0489 Å
α = 90.00°, β = 90.00°, γ = 90.00°
Element x y z (fractional)
Li: 0.0000 0.0000 0.5078
La: 0.5000 0.5000 0.2584
La: 0.0000 0.0000 0.9902
Y: 0.5000 0.5000 0.7437

First-principles (GGA-PBE) data for an optimized crystal structure of Li3LaY, as listed in the Alexandria database.

Computed properties:
Crystal system ... cubic
E_tot ... -2.53 eV/atom
Calculated density ... 2.88 g cm⁻³
E_form ... 0.8936 eV/atom
M_tot ... 2.08 μB per cell

a = 5.2323 Å, b = 5.2323 Å, c = 5.2323 Å
α = 90.00°, β = 90.00°, γ = 90.00°
Element x y z (fractional)
La: 0.0000 0.0000 0.0000
Li: 0.0000 0.5000 0.0000
Li: 0.5000 0.0000 0.0000
Li: 0.0000 0.0000 0.5000
Y: 0.5000 0.5000 0.5000

First-principles (GGA-PBE) data for an optimized crystal structure of LiLa2Y2, as listed in the Alexandria database.

Computed properties:
Crystal system ... tetragonal
E_tot ... -4.69 eV/atom
Calculated density ... 4.62 g cm⁻³
E_form ... 0.2459 eV/atom
Distance to the lowest polymorph of the same formula ... 40 meV per atom
M_tot ... 0.00 μB per cell

a = 7.7719 Å, b = 7.7719 Å, c = 5.5089 Å
α = 90.00°, β = 90.00°, γ = 90.00°
Element x y z (fractional)
La: 0.1345 0.3655 0.0000
La: 0.6345 0.1345 0.0000
La: 0.8655 0.6345 0.0000
La: 0.3655 0.8655 0.0000
Y: 0.8366 0.3366 0.5000
Y: 0.3366 0.1634 0.5000
Y: 0.6634 0.8366 0.5000
Y: 0.1634 0.6634 0.5000
Li: 0.5000 0.5000 0.0000
Li: 0.0000 0.0000 0.0000

First-principles (GGA-PBE) data for an optimized crystal structure of LiLa2Y2, as listed in the Alexandria database.

Computed properties:
Crystal system ... tetragonal
E_tot ... -4.73 eV/atom
Calculated density ... 4.57 g cm⁻³
E_form ... 0.2063 eV/atom
Distance to the lowest polymorph of the same formula ... 0 meV per atom
M_tot ... 0.00 μB per cell

a = 7.7510 Å, b = 7.7510 Å, c = 5.5901 Å
α = 90.00°, β = 90.00°, γ = 90.00°
Element x y z (fractional)
La: 0.3422 0.1578 0.5000
La: 0.8422 0.3422 0.5000
La: 0.6578 0.8422 0.5000
La: 0.1578 0.6578 0.5000
Y: 0.3530 0.8530 0.0000
Y: 0.1470 0.3530 0.0000
Y: 0.6470 0.1470 0.0000
Y: 0.8530 0.6470 0.0000
Li: 0.5000 0.5000 0.0000
Li: 0.0000 0.0000 0.0000

First-principles (GGA-PBE) data for an optimized crystal structure of LiLa2Y, as listed in the Alexandria database.

Computed properties:
Crystal system ... orthorhombic
E_tot ... -4.44 eV/atom
Calculated density ... 4.70 g cm⁻³
E_form ... 0.1160 eV/atom
Distance to the lowest polymorph of the same formula ... 56 meV per atom
M_tot ... 0.00 μB per cell

a = 3.5104 Å, b = 3.5104 Å, c = 11.6893 Å
α = 90.00°, β = 90.00°, γ = 113.69°
Element x y z (fractional)
La: 0.0000 0.0000 0.4959
La: 0.0000 0.0000 0.0041
Li: 0.5000 0.5000 0.2500
Y: 0.5000 0.5000 0.7500

First-principles (GGA-PBE) data for an optimized crystal structure of LiLa2Y, as listed in the Alexandria database.

Computed properties:
Crystal system ... orthorhombic
E_tot ... -4.42 eV/atom
Calculated density ... 4.86 g cm⁻³
E_form ... 0.1408 eV/atom
Distance to the lowest polymorph of the same formula ... 81 meV per atom
M_tot ... 0.01 μB per cell

a = 3.7313 Å, b = 5.8020 Å, c = 5.8996 Å
α = 90.00°, β = 90.00°, γ = 90.00°
Element x y z (fractional)
La: 0.0000 0.0000 0.0000
La: 0.5000 0.5000 0.0000
Y: 0.0000 0.5000 0.5000
Li: 0.5000 0.0000 0.5000

First-principles (GGA-PBE) data for an optimized crystal structure of LiLa2Y, as listed in the Alexandria database.

Computed properties:
Crystal system ... tetragonal
E_tot ... -4.27 eV/atom
Calculated density ... 4.82 g cm⁻³
E_form ... 0.2859 eV/atom
Distance to the lowest polymorph of the same formula ... 226 meV per atom
M_tot ... 0.00 μB per cell

a = 8.8387 Å, b = 8.8387 Å, c = 7.0644 Å
α = 51.28°, β = 51.28°, γ = 90.00°
Element x y z (fractional)
La: 0.8750 0.8337 0.7500
La: 0.3750 0.4163 0.7500
La: 0.5837 0.1250 0.2500
La: 0.1663 0.6250 0.2500
Li: 0.5000 0.5000 0.0000
Li: 0.2500 0.7500 0.5000
Y: 0.7500 0.2500 0.5000
Y: 0.0000 0.0000 0.0000